1.
A crystal of BaSc2Br relaxed with PBEsol. Source: Alexandria, functional SCAN.

Its raw total energy is -22.015 eV per atom. The relative energy among the computed polymorphs comes out at 0.0312 eV/atom. The calculation puts the formation energy without anion corrections at -0.144 eV per atom.

Cell: 3.6118 5.9264 10.3100 Å, 90.00 90.00 90.00°
Closest atoms and distances in Å follow each position.
Space group Cmmm (No. 65)
Asymmetric unit:
Ba 0.0000 0.0000 0.0000 [2 per cell]  6 Ba 3.47-3.61, 4 Sc 3.53
Sc 0.0000 0.5000 0.2936 [4 per cell]  2 Br 2.79
Br 0.0000 0.0000 0.5000 [2 per cell]  4 Sc 2.79

***

2.
A crystal of ZrTlPt2 relaxed with PBEsol. Source: Alexandria, functional SCAN.

Its raw total energy is -61.601 eV per atom. Its formation energy is -0.740 eV per atom.

Cell: 3.3532 3.4282 6.7157 Å, 90.00 96.14 90.00°
Closest atoms and distances in Å follow each position.
Space group P2/m (No. 10)
Asymmetric unit:
Zr 0.0000 0.0000 0.0000 [1 per cell]  8 Pt 2.76-2.81
Tl 0.0000 0.0000 0.5000 [1 per cell]  4 Pt 2.87
Pt 0.4422 0.5000 0.7876 [2 per cell]  4 Zr 2.76-2.81, 1 Pt 2.84, 2 Tl 2.87